1.
{
  "formula": "K7Rb3Tl",
  "functional": "PBE",
  "state": "optimized geometry",
  "magmom_total_mub_per_fu": 0.00,
  "dft_energy_ev_per_atom": -1.1600,
  "sg": "Cm, No. 8",
  "formation_energy_ev_per_atom": 0.017,
  "lattice": [[-6.627, 4.419, 3.200], [4.271, -4.873, 5.631], [6.617, 8.927, 4.457]],
  "species": ["K", "K", "K", "K", "K", "K", "K", "Rb", "Rb", "Rb", "Tl"],
  "fractional_positions": [[0.098, 0.098, 0.311], [0.633, 0.101, 0.176], [0.926, 0.392, 0.863], [0.101, 0.633, 0.176], [0.617, 0.617, 0.188], [0.392, 0.926, 0.863], [0.935, 0.935, 0.713], [0.678, 0.334, 0.524], [0.415, 0.415, 0.897], [0.334, 0.678, 0.524], [0.994, 0.994, 0.016]]
}

=====

2.
{
  "formula": "K4RbTl5",
  "functional": "PBE",
  "state": "optimized geometry",
  "magmom_total_mub_per_fu": 0.00,
  "dft_energy_ev_per_atom": -1.7635,
  "sg": "Pmmn, No. 59",
  "formation_energy_ev_per_atom": -0.045,
  "lattice": [[-1.578, -4.004, -3.767], [8.759, -7.652, 4.466], [-7.538, -4.188, 7.608]],
  "species": ["K", "K", "K", "K", "K", "K", "K", "K", "Rb", "Rb", "Tl", "Tl", "Tl", "Tl", "Tl", "Tl", "Tl", "Tl", "Tl", "Tl"],
  "fractional_positions": [[0.251, 0.302, 0.000], [0.749, 0.000, 0.247], [0.749, 0.000, 0.753], [0.251, 0.698, 0.000], [0.749, 0.802, 0.500], [0.251, 0.500, 0.253], [0.251, 0.500, 0.747], [0.749, 0.198, 0.500], [0.247, 0.000, 0.000], [0.753, 0.500, 0.500], [0.750, 0.304, 0.200], [0.750, 0.304, 0.800], [0.249, 0.000, 0.500], [0.750, 0.696, 0.200], [0.750, 0.696, 0.800], [0.250, 0.804, 0.300], [0.250, 0.804, 0.700], [0.751, 0.500, 0.000], [0.250, 0.196, 0.700], [0.250, 0.196, 0.300]]
}

=====

3.
{
  "formula": "KRbTl14",
  "functional": "PBE",
  "state": "optimized geometry",
  "magmom_total_mub_per_fu": 0.00,
  "dft_energy_ev_per_atom": -2.1977,
  "sg": "Amm2, No. 38",
  "formation_energy_ev_per_atom": 0.002,
  "lattice": [[-3.505, 0.144, -6.261], [5.081, -5.062, 0.278], [-7.435, -7.243, 3.995]],
  "species": ["K", "Rb", "Tl", "Tl", "Tl", "Tl", "Tl", "Tl", "Tl", "Tl", "Tl", "Tl", "Tl", "Tl", "Tl", "Tl"],
  "fractional_positions": [[0.598, 0.402, 0.500], [0.058, 0.942, 0.500], [0.206, 0.794, 0.000], [0.672, 0.328, 0.000], [0.111, 0.460, 0.500], [0.147, 0.303, 0.000], [0.540, 0.889, 0.500], [0.697, 0.853, 0.000], [0.363, 0.113, 0.777], [0.363, 0.113, 0.223], [0.887, 0.637, 0.777], [0.887, 0.637, 0.223], [0.383, 0.617, 0.758], [0.383, 0.617, 0.242], [0.853, 0.147, 0.743], [0.853, 0.147, 0.257]]
}

=====

4.
{
  "formula": "K2Rb5Tl",
  "functional": "PBE",
  "state": "optimized geometry",
  "magmom_total_mub_per_fu": 0.00,
  "dft_energy_ev_per_atom": -1.1653,
  "sg": "P1, No. 1",
  "formation_energy_ev_per_atom": 0.010,
  "lattice": [[1.307, 5.516, 6.432], [8.338, -2.474, -0.973], [2.959, 7.627, -2.754]],
  "species": ["K", "K", "Rb", "Rb", "Rb", "Rb", "Rb", "Tl"],
  "fractional_positions": [[0.012, 0.690, 0.454], [0.780, 0.147, 0.643], [0.626, 0.894, 0.222], [0.833, 0.470, 0.015], [0.408, 0.699, 0.825], [0.199, 0.136, 0.078], [0.334, 0.284, 0.517], [0.031, 0.903, 0.800]]
}

=====

5.
{
  "formula": "KRb2Tl2",
  "functional": "PBE",
  "state": "optimized geometry",
  "magmom_total_mub_per_fu": 0.00,
  "dft_energy_ev_per_atom": -1.5871,
  "sg": "C2/c, No. 15",
  "formation_energy_ev_per_atom": -0.034,
  "lattice": [[-2.294, -5.399, -4.651], [-0.327, -6.940, 2.192], [-10.883, -3.593, 3.514]],
  "species": ["K", "K", "Rb", "Rb", "Rb", "Rb", "Tl", "Tl", "Tl", "Tl"],
  "fractional_positions": [[0.149, 0.750, 0.250], [0.851, 0.250, 0.750], [0.486, 0.858, 0.855], [0.801, 0.358, 0.355], [0.514, 0.142, 0.145], [0.199, 0.642, 0.645], [0.298, 0.198, 0.498], [0.993, 0.302, 0.002], [0.702, 0.802, 0.502], [0.007, 0.698, 0.998]]
}

=====

6.
{
  "formula": "K2Rb2Tl",
  "functional": "PBE",
  "state": "optimized geometry",
  "magmom_total_mub_per_fu": 0.00,
  "dft_energy_ev_per_atom": -1.1388,
  "sg": "I4/mmm, No. 139",
  "formation_energy_ev_per_atom": 0.160,
  "lattice": [[5.386, 0.000, 0.000], [0.000, 5.386, 0.000], [-2.693, -2.693, 11.874]],
  "species": ["K", "K", "Rb", "Rb", "Tl"],
  "fractional_positions": [[0.750, 0.250, 0.500], [0.250, 0.750, 0.500], [0.416, 0.416, 0.832], [0.584, 0.584, 0.168], [0.000, 0.000, 0.000]]
}

=====

7.
{
  "formula": "K3RbTl",
  "functional": "PBE",
  "state": "optimized geometry",
  "magmom_total_mub_per_fu": 0.00,
  "dft_energy_ev_per_atom": -0.9000,
  "sg": "Pm-3m, No. 221",
  "formation_energy_ev_per_atom": 0.425,
  "lattice": [[-4.667, 3.341, 4.724], [-2.581, -6.634, 2.142], [5.179, -0.295, 5.325]],
  "species": ["Tl", "K", "K", "K", "Rb"],
  "fractional_positions": [[0.500, 0.500, 0.500], [0.000, 0.500, 0.000], [0.000, 0.000, 0.500], [0.500, 0.000, 0.000], [0.000, 0.000, 0.000]]
}

=====

8.
{
  "formula": "K3RbTl8",
  "functional": "PBE",
  "state": "optimized geometry",
  "magmom_total_mub_per_fu": 0.00,
  "dft_energy_ev_per_atom": -2.0461,
  "sg": "P3m1, No. 156",
  "formation_energy_ev_per_atom": -0.114,
  "lattice": [[6.805, 0.000, 0.000], [-3.402, 5.893, 0.000], [0.000, 0.000, 10.592]],
  "species": ["K", "K", "K", "Rb", "Tl", "Tl", "Tl", "Tl", "Tl", "Tl", "Tl", "Tl"],
  "fractional_positions": [[0.667, 0.333, 0.437], [0.667, 0.333, 0.063], [0.000, 0.000, 0.939], [0.000, 0.000, 0.562], [0.333, 0.667, 0.501], [0.333, 0.667, 0.998], [0.503, 0.005, 0.752], [0.503, 0.497, 0.752], [0.995, 0.497, 0.752], [0.166, 0.331, 0.248], [0.166, 0.834, 0.248], [0.669, 0.834, 0.248]]
}